# 1
Density functional theory data (GGA-PBE) for Pr6Sm12Dy after structural relaxation.

It has space group R-3m (No. 166, hexagonal axes), with a = 16.6657 Å, b = 16.6657 Å, c = 8.4245 Å, α = 90.00°, β = 90.00° and γ = 120.00°. The asymmetric unit holds Pr at (0.0862, 0.1725, 0.1455), Sm at (0.0000, 0.3788, 0.0000), Sm at (0.0943, 0.5472, 0.3101) and Dy at (0.0000, 0.0000, 0.5000).

As for the density of states at the Fermi level: 97.7 states/eV/cell. The volume comes out at 2026.4 Å³/cell. The calculation puts the offset from the most stable computed form at 0.170 eV/atom.

# 2
Density functional theory data (GGA-PBE) for BPtI2O after structural relaxation.

It has space group P4/mmm (No. 123), with a = 5.7637 Å, b = 5.7637 Å, c = 2.8362 Å, α = 90.00°, β = 90.00° and γ = 90.00°. The asymmetric unit holds B at (0.0000, 0.0000, 0.0000), Pt at (0.5000, 0.5000, 0.5000), I at (0.0000, 0.5000, 0.0000) and O at (0.0000, 0.0000, 0.5000).

As for the density of states at the Fermi level: 2.5 states/eV/cell. The volume comes out at 94.2 Å³/cell. The calculation puts the offset from the most stable computed form at 0.000 eV/atom.

> What is the formula in the first record?

Pr6Sm12Dy

> The lowest volume belongs to which entry?

BPtI2O